[1]
Below is RbPbCl2F after structural relaxation, with properties calculated at the PBE level.

```
RbPbCl2F
1.0
5.794 0.000 0.000
0.000 5.794 0.000
0.000 0.000 4.763
Rb Pb Cl F
1 1 2 1
Cartesian
0.000 0.000 0.000
2.897 2.897 2.381
0.000 2.897 2.381
2.897 0.000 2.381
2.897 2.897 0.000
```

Calculated values
- calculated volume (Å³ per cell) = 159.87
- excess energy over the best structure of this formula in the dataset (meV/atom) = 14.4
- total DFT energy (no corrections) (eV/atom) = -3.8630
- magnetization (μB per formula unit) = 0.00
- formation energy without anion corrections (kJ/mol of formula units) = -876

[2]
Below is UBr3 after structural relaxation, with properties calculated at the PBE level.

```
UBr3
1.0
3.794 0.000 0.000
0.000 11.245 0.000
0.000 0.000 7.190
U Br
2 6
Cartesian
0.000 0.000 0.000
1.897 5.622 3.595
0.000 3.743 4.744
0.000 5.622 1.406
0.000 7.502 4.744
1.897 0.000 5.001
1.897 1.880 1.149
1.897 9.365 1.149
```

Calculated values
- calculated volume (Å³ per cell) = 306.70
- total DFT energy (no corrections) (eV/atom) = -5.3063
- magnetization (μB per formula unit) = 3.00
- formation energy without anion corrections (kJ/mol of formula units) = -475

[3]
Below is Sn2TeAs2 after structural relaxation, with properties calculated at the PBE level.

```
Sn2TeAs2
1.0
8.087 0.000 0.000
0.000 8.087 0.000
0.000 0.000 3.872
Sn Te As
4 2 4
Cartesian
1.213 2.830 0.000
2.830 6.873 0.000
5.257 1.213 0.000
6.873 5.257 0.000
0.000 0.000 1.936
4.043 4.043 1.936
1.254 5.298 1.936
2.789 1.254 1.936
5.298 6.832 1.936
6.832 2.789 1.936
```

Calculated values
- calculated volume (Å³ per cell) = 253.18
- excess energy over the best structure of this formula in the dataset (meV/atom) = 120.5
- total DFT energy (no corrections) (eV/atom) = -3.9548
- magnetization (μB per formula unit) = 0.00
- formation energy without anion corrections (kJ/mol of formula units) = 65

[4]
Below is RbAu3Se after structural relaxation, with properties calculated at the PBE level.

```
RbAu3Se
1.0
5.726 0.000 0.000
0.000 5.726 0.000
0.000 0.000 5.726
Rb Au Se
1 3 1
Cartesian
0.000 0.000 0.000
0.000 0.000 2.863
0.000 2.863 0.000
2.863 0.000 0.000
2.863 2.863 2.863
```

Calculated values
- calculated volume (Å³ per cell) = 187.76
- excess energy over the best structure of this formula in the dataset (meV/atom) = 1481.8
- total DFT energy (no corrections) (eV/atom) = -1.3925
- magnetization (μB per formula unit) = 0.00
- formation energy without anion corrections (kJ/mol of formula units) = 706

[5]
Below is AcThAg4 after structural relaxation, with properties calculated at the PBE level.

```
AcThAg4
1.0
3.638 0.000 0.000
0.000 4.880 0.000
0.000 0.000 8.496
Ac Th Ag
1 1 4
Cartesian
0.000 0.000 0.000
0.000 2.440 4.248
1.819 0.000 2.870
1.819 0.000 5.626
1.819 2.440 1.457
1.819 2.440 7.039
```

Calculated values
- calculated volume (Å³ per cell) = 150.84
- excess energy over the best structure of this formula in the dataset (meV/atom) = 0.0
- total DFT energy (no corrections) (eV/atom) = -4.0125
- energy of formation (eV/atom) = -0.190
- magnetization (μB per formula unit) = 0.00

[6]
Below is Ce2Hg2Pt15 after structural relaxation, with properties calculated at the PBE level.

```
Ce2Hg2Pt15
1.0
4.717 2.723 4.483
-4.717 2.723 4.483
0.000 -5.446 4.483
Ce Hg Pt
2 2 15
Cartesian
0.000 0.000 1.977
0.000 0.000 11.472
0.000 0.000 5.323
0.000 0.000 8.126
-2.358 -1.362 4.483
0.000 -2.791 4.411
-2.417 1.395 4.411
-1.527 -2.646 6.725
-3.055 0.000 6.725
-2.417 -1.395 9.039
-2.358 1.362 8.966
1.527 -2.646 6.725
0.000 2.723 4.483
-1.527 2.646 6.725
2.417 1.395 4.411
3.055 0.000 6.725
1.527 2.646 6.725
2.417 -1.395 9.039
0.000 2.791 9.039
```

Calculated values
- calculated volume (Å³ per cell) = 345.51
- total DFT energy (no corrections) (eV/atom) = -5.8480
- energy of formation (eV/atom) = -0.423
- magnetization (μB per formula unit) = 0.62